## KMnNb2As (PBE)

Data for crystalline KMnNb2As at its relaxed geometry.

Computed properties:
- Space group: P4/mmm, No. 123
- DFT formation energy: 14.5 eV per formula unit
- Final energy: -20.52 eV/cell

Lattice parameters (Å, degrees): 4.5729 4.5729 5.1617 90.00 90.00 90.00
Last column: nearest neighbours and their distance in Å.
Element x y z (fractional)
K 0.0000 0.0000 0.0000  4 Nb 2.29
Mn 0.5000 0.5000 0.5000  4 As 3.23, 8 Nb 3.45
Nb 0.0000 0.5000 0.0000  2 K 2.29
Nb 0.5000 0.0000 0.0000  2 K 2.29
As 0.0000 0.0000 0.5000  2 K 2.58